YFe2F2: optimized geometry, PBE+U.

Unit cell a=5.8592 b=5.8592 c=5.2056 alpha=90.00 beta=90.00 gamma=90.00
With the nearest neighbours (Å) after each atom.
Fractional coordinates of all 10 atoms:
Y1 0.0000 0.0000 0.0000  4 F 2.19
Y2 0.5000 0.5000 0.0000  4 F 2.19
Fe1 0.1741 0.6741 0.5000  2 F 2.60, 1 Fe 2.89
Fe2 0.6741 0.8259 0.5000  2 F 2.60, 1 Fe 2.89
Fe3 0.8259 0.3259 0.5000  2 F 2.60, 1 Fe 2.89
Fe4 0.3259 0.1741 0.5000  2 F 2.60, 1 Fe 2.89
F1 0.1651 0.6651 0.0000  2 Y 2.19
F2 0.6651 0.8349 0.0000  2 Y 2.19
F3 0.8349 0.3349 0.0000  2 Y 2.19
F4 0.3349 0.1651 0.0000  2 Y 2.19

Output
Raw total energy (eV/cell): -56.5
Volume (Å³/cell): 178.7